[1]
Density functional theory data (PBE) for an optimized crystal structure of PrHg5.

Calculated values
Electronic total energy = -1.30 eV per atom

POSCAR file:
```
PrHg5
1.0
-2.609 4.195 1.478
-1.946 -3.071 -3.716
-2.542 -3.396 5.153
Hg Pr
5 1
direct
0.958 0.915 0.863
0.627 0.253 0.866
0.306 0.611 0.611
0.985 0.969 0.356
0.653 0.307 0.359
0.306 0.611 0.111
```

=====

[2]
Density functional theory data (PBE) for an optimized crystal structure of Pr2Hg7.

Calculated values
Electronic total energy = -1.62 eV per atom

POSCAR file:
```
Pr2Hg7
1.0
-3.947 3.138 -1.409
0.975 -4.364 -2.723
-5.995 -4.944 5.778
Hg Pr
7 2
direct
0.667 0.333 0.898
0.333 0.667 0.426
0.667 0.333 0.574
0.000 0.000 0.000
0.333 0.667 0.102
0.000 0.000 0.343
0.000 0.000 0.657
0.667 0.333 0.230
0.333 0.667 0.770
```

=====

[3]
Density functional theory data (PBE) for an optimized crystal structure of Pr2Hg3.

Calculated values
Electronic total energy = -2.38 eV per atom

POSCAR file:
```
Pr2Hg3
1.0
6.466 0.000 0.000
0.000 7.251 0.000
-3.233 -3.625 6.472
Pr Hg
4 6
direct
0.844 0.577 0.688
0.656 0.889 0.312
0.156 0.423 0.312
0.344 0.111 0.688
0.750 0.000 0.000
0.397 0.583 0.794
0.897 0.211 0.794
0.103 0.789 0.206
0.603 0.417 0.206
0.250 0.000 0.000
```

=====

[4]
Density functional theory data (PBE) for an optimized crystal structure of Pr3Hg.

Calculated values
Electronic total energy = -3.89 eV per atom

POSCAR file:
```
Pr3Hg
1.0
3.794 0.000 0.000
0.000 3.794 0.000
0.000 0.000 9.049
Pr Hg
3 1
direct
0.500 0.500 0.219
0.500 0.500 0.781
0.000 0.000 0.500
0.000 0.000 0.000
```

=====

[5]
Density functional theory data (PBE) for an optimized crystal structure of Pr5Hg2.

Calculated values
Electronic total energy = -3.73 eV per atom

POSCAR file:
```
Pr5Hg2
1.0
8.057 0.000 0.000
0.000 6.699 0.195
-4.029 -0.814 8.309
Pr Hg
10 4
direct
0.532 0.750 0.000
0.215 0.523 0.162
0.190 0.782 0.537
0.810 0.218 0.463
0.653 0.718 0.463
0.947 0.023 0.162
0.347 0.282 0.537
0.053 0.977 0.838
0.468 0.250 0.000
0.785 0.477 0.838
0.366 0.015 0.238
0.128 0.485 0.762
0.634 0.985 0.762
0.872 0.515 0.238
```

=====

[6]
Density functional theory data (PBE) for an optimized crystal structure of PrHg8.

Calculated values
Electronic total energy = -0.97 eV per atom

POSCAR file:
```
PrHg8
1.0
4.830 0.000 0.000
2.415 6.941 0.000
2.415 0.000 6.941
Hg Pr
8 1
direct
0.000 0.664 0.336
0.336 0.664 0.664
0.331 0.338 0.000
0.669 0.662 0.000
0.664 0.336 0.336
0.669 0.000 0.662
0.331 0.000 0.338
0.000 0.336 0.664
0.000 0.000 0.000
```

=====

[7]
Density functional theory data (PBE) for an optimized crystal structure of PrHg3.

Calculated values
Electronic total energy = -1.82 eV per atom

POSCAR file:
```
PrHg3
1.0
5.082 0.000 0.000
0.000 6.850 0.005
0.000 -3.431 5.927
Hg Pr
6 2
direct
0.250 0.800 0.462
0.750 0.450 0.788
0.750 0.962 0.788
0.250 0.288 0.462
0.750 0.962 0.300
0.250 0.288 0.950
0.750 0.459 0.292
0.250 0.791 0.958
```

=====

[8]
Density functional theory data (PBE) for an optimized crystal structure of Pr7Hg.

Calculated values
Electronic total energy = -4.28 eV per atom

POSCAR file:
```
Pr7Hg
1.0
-2.678 -2.319 -3.603
3.742 -3.335 -0.635
-4.889 -3.445 9.392
Pr Hg
7 1
direct
0.621 0.121 0.242
0.749 0.749 0.497
0.500 0.500 0.000
0.379 0.879 0.758
0.251 0.251 0.503
0.879 0.379 0.758
0.121 0.621 0.242
0.000 0.000 0.000
```